Density functional theory data (PBE-GGA) for an optimized crystal structure of TbPrAg2Te4.

Lattice parameters (Å, degrees): 7.569 6.977 6.977 66.02 57.15 57.15
Sites, in units of the cell vectors:
1 Te 0.094 0.922 0.425
2 Pr 0.000 0.000 0.000
3 Ag 0.843 0.657 0.657
4 Te 0.906 0.575 0.078
5 Te 0.559 0.425 0.922
6 Te 0.441 0.078 0.575
7 Ag 0.157 0.343 0.343
8 Tb 0.500 0.500 0.500

Results
calculated density	6.63	Mg/m³
total DFT energy (no corrections)	-4.195	eV/atom
DOS(E_F)	0.124	states/eV per atom
raw formation energy	-0.735	eV/atom
space group	I222, No. 23
calculated volume	256.8	Å³/f.u.